Material: PrInAu2
Method: DFT, PBE
State: optimized geometry

raw total energy = -4.058 eV/atom

```
data_PrInAu2
_chemical_formula_sum 'Pr2 In2 Au4'
_cell_length_a 4.657
_cell_length_b 3.849
_cell_length_c 10.772
_cell_angle_alpha 90.00
_cell_angle_beta 90.00
_cell_angle_gamma 90.00
_symmetry_space_group_name_H-M 'A m m 2'
_symmetry_Int_Tables_number 38
loop_
_symmetry_equiv_pos_as_xyz
'x,y,z'
'-x,-y,z'
'-x,y,z'
'x,-y,z'
'x,y+1/2,z+1/2'
'-x,-y+1/2,z+1/2'
'-x,y+1/2,z+1/2'
'x,-y+1/2,z+1/2'
loop_
_atom_site_label
_atom_site_fract_x
_atom_site_fract_y
_atom_site_fract_z
_atom_site_occupancy
Pr1 0.000 0.000 0.000 1
In1 0.500 0.000 0.712 1
Au1 0.000 0.000 0.273 1
Au2 0.500 0.000 0.435 1
```

Material: Re11Ni2
Method: DFT, PBE
State: optimized geometry

ΔE to the lowest computed polymorph = 5.3 meV/atom

```
data_Re11Ni2
_chemical_formula_sum 'Re33 Ni6'
_cell_length_a 5.0354
_cell_length_b 5.0354
_cell_length_c 26.5143
_cell_angle_alpha 90.00
_cell_angle_beta 90.00
_cell_angle_gamma 120.00
_symmetry_space_group_name_H-M 'R -3 m'
_symmetry_Int_Tables_number 166
_symmetry_space_group_name_Hall '-R 3 2"'
loop_
_atom_site_label
_atom_site_fract_x
_atom_site_fract_y
_atom_site_fract_z
_atom_site_occupancy
Re1 0.0000 0.0000 0.0000 1
Re2 0.0000 0.0000 0.1641 1
Re3 0.0000 0.0000 0.3544 1
Re4 0.0074 0.5037 0.4129 1
Ni1 0.0000 0.0000 0.4540 1
```

For each record above, in turn, the calculated theoretical density values are 11.2, 18.5 Mg/m³.